VASP calculation (PBE with a Hubbard U) on an optimized crystal structure of Li3Co8O4F12.

a b c (Å): 10.5374 5.8554 10.3941
angles (deg): 90.00 111.91 90.00
Space group Cm (No. 8)
One atom of each set of equivalent atoms:
Li 0.0000 0.0000 0.0000
Li 0.1192 0.5000 0.8782
Li 0.3096 0.5000 0.4358
Co 0.0504 0.0000 0.6961
Co 0.0542 0.5000 0.1821
Co 0.0560 0.2378 0.4344
Co 0.3073 0.2467 0.7000
Co 0.3191 0.2493 0.1966
O 0.1641 0.0000 0.5855
O 0.4264 0.5000 0.7900
O 0.4275 0.5000 0.3234
O 0.4551 0.0000 0.3083
F 0.1686 0.2371 0.8017
F 0.1829 0.5000 0.5563
F 0.1861 0.5000 0.0795
F 0.1886 0.2679 0.3216
F 0.1986 0.0000 0.0896
F 0.4283 0.0000 0.8079
F 0.4339 0.2529 0.0729
F 0.4335 0.2748 0.5726

Calculated values
For the energy, the calculation gives -268.27 eV/cell.